VASP calculation (PBE) on a relaxed CdGaPd2 crystal.

Results
As for the volume: 73 Å³/f.u. The calculation puts the density of states at the Fermi level at 3.050 states/eV/f.u. The symmetry is Immm, No. 71. As for the formation energy: -0.022 eV/atom.

Cell lengths 5.9087, 5.9087, 5.9087 Å; angles 57.09, 151.70, 131.52 degrees
Last column: nearest neighbours and their distance in Å.
Element x y z (fractional)
Cd  0.0000  0.5000  0.5000  2 Pd 2.76, 4 Ga 2.82, 2 Cd 2.89
Ga  0.0000  0.0000  0.0000  2 Pd 2.43
Pd  0.0000  0.2342  0.2342  1 Ga 2.43
Pd  0.0000  0.7658  0.7658  1 Ga 2.43